(1)
This record from Alexandria via LeMat-Bulk describes a geometry-optimized NdY4Sc3 structure. The functional is GGA-PBE.

Lattice parameters (Å, degrees): 3.341 8.639 8.639 81.51 78.84 78.86
Sites, in units of the cell vectors:
Y 0.632 0.123 0.612
Y 0.368 0.877 0.388
Y 0.368 0.388 0.877
Y 0.632 0.612 0.123
Sc 0.759 0.241 0.241
Sc 0.241 0.759 0.759
Sc 0.000 0.500 0.500
Nd 0.500 0.000 0.000

## Properties
DOS at the Fermi energy   17.9 states/eV/cell
Offset from the most stable computed form   0.0 meV per atom
DFT formation energy   187 meV per atom



(2)
This record from Alexandria via LeMat-Bulk describes a geometry-optimized CaRe2As structure. The functional is GGA-PBE.

Lattice parameters (Å, degrees): 6.035 6.035 2.763 77.01 77.01 125.56
Sites, in units of the cell vectors:
Re 0.000 0.000 0.000
Re 0.500 0.500 0.000
As 0.500 0.000 0.500
Ca 0.000 0.500 0.500

## Properties
DOS at the Fermi energy   2.8 states/eV/cell
DFT formation energy   534 meV per atom



(3)
This record from Alexandria via LeMat-Bulk describes a geometry-optimized Li4Zr5 structure. The functional is GGA-PBE.

Lattice parameters (Å, degrees): 7.905 7.905 7.905 92.25 92.25 157.15
Sites, in units of the cell vectors:
Li 0.343 0.000 0.343
Li 0.657 0.000 0.657
Li 0.000 0.657 0.657
Li 0.000 0.343 0.343
Zr 0.000 0.000 0.000
Zr 0.330 0.670 0.000
Zr 0.670 0.330 0.000
Zr 0.670 0.670 0.339
Zr 0.330 0.330 0.661

## Properties
DOS at the Fermi energy   8.7 states/eV/cell
DFT formation energy   208 meV per atom



(4)
This record from Alexandria via LeMat-Bulk describes a geometry-optimized FeRhW structure. The functional is GGA-PBE.

Lattice parameters (Å, degrees): 3.898 3.905 7.188 105.74 90.00 119.94
Sites, in units of the cell vectors:
W 0.070 0.141 0.711
W 0.930 0.859 0.289
Fe 0.333 0.666 0.498
Fe 0.667 0.334 0.502
Rh 0.204 0.408 0.113
Rh 0.796 0.592 0.887

## Properties
DOS at the Fermi energy   6.3 states/eV/cell
Offset from the most stable computed form   265.7 meV per atom
DFT formation energy   251 meV per atom



(5)
This record from Alexandria via LeMat-Bulk describes a geometry-optimized TmPuSc structure. The functional is GGA-PBE.

Lattice parameters (Å, degrees): 3.299 5.716 9.053 95.25 90.00 106.77
Each line ends with the local moment (μB).
Sites, in units of the cell vectors:
Tm 0.145 0.289 0.596  -0.08
Tm 0.855 0.711 0.404  -0.08
Pu 0.632 0.264 0.917  5.39
Pu 0.368 0.736 0.083  5.39
Sc 0.887 0.774 0.773  -0.01
Sc 0.113 0.226 0.227  -0.01

## Properties
DOS at the Fermi energy   14.9 states/eV/cell
Offset from the most stable computed form   57.6 meV per atom
DFT formation energy   164 meV per atom



(6)
This record from Alexandria via LeMat-Bulk describes a geometry-optimized Tl2SbPbCl6 structure. The functional is GGA-PBE.

Lattice parameters (Å, degrees): 8.363 8.557 7.674 117.16 118.21 102.46
Each line ends with the local moment (μB).
Sites, in units of the cell vectors:
Tl 0.772 0.254 0.590  0.00
Tl 0.293 0.735 0.593  0.00
Sb 0.999 0.006 0.993  0.35
Pb 0.501 0.496 0.988  0.01
Cl 0.717 0.650 0.845  0.02
Cl 0.899 0.773 0.532  0.01
Cl 0.213 0.344 0.076  0.01
Cl 0.613 0.192 0.859  0.02
Cl 0.097 0.247 0.447  0.01
Cl 0.395 0.807 0.074  0.01

## Properties
E_form (uncorrected)   -0.8947 eV per atom



(7)
This record from Alexandria via LeMat-Bulk describes a geometry-optimized KCaNi2 structure. The functional is GGA-PBE.

Lattice parameters (Å, degrees): 5.011 5.011 5.011 60.00 60.00 60.00
Sites, in units of the cell vectors:
Ni 0.250 0.250 0.250
Ni 0.750 0.750 0.750
Ca 0.500 0.500 0.500
K 0.000 0.000 0.000

## Properties
DOS at the Fermi energy   4.3 states/eV/cell
Offset from the most stable computed form   511.6 meV per atom
DFT formation energy   634 meV per atom



(8)
This record from Alexandria via LeMat-Bulk describes a geometry-optimized CsBiSb structure. The functional is GGA-PBE.

Lattice parameters (Å, degrees): 5.883 5.883 8.080 90.00 90.00 90.00
Sites, in units of the cell vectors:
Cs 0.750 0.750 0.341
Cs 0.250 0.250 0.659
Bi 0.250 0.750 0.000
Bi 0.750 0.250 0.000
Sb 0.250 0.250 0.152
Sb 0.750 0.750 0.848

## Properties
DOS at the Fermi energy   2.0 states/eV/cell
Offset from the most stable computed form   19.9 meV per atom
E_form (uncorrected)   -0.2718 eV per atom



(9)
This record from Alexandria via LeMat-Bulk describes a geometry-optimized CeHoMg2 structure. The functional is GGA-PBE.

Lattice parameters (Å, degrees): 5.374 5.374 5.374 60.00 60.00 60.00
Each line ends with the local moment (μB).
Sites, in units of the cell vectors:
Mg 0.750 0.750 0.750  0.00
Mg 0.250 0.250 0.250  0.00
Ho 0.000 0.000 0.000  0.01
Ce 0.500 0.500 0.500  0.78

## Properties
DOS at the Fermi energy   6.9 states/eV/cell
Offset from the most stable computed form   0.0 meV per atom
DFT formation energy   -5 meV per atom



(10)
This record from Alexandria via LeMat-Bulk describes a geometry-optimized Bi2P2I structure. The functional is GGA-PBE.

Lattice parameters (Å, degrees): 4.616 4.616 7.855 72.91 72.91 90.00
Sites, in units of the cell vectors:
I 0.000 0.000 0.000
P 0.750 0.250 0.500
P 0.250 0.750 0.500
Bi 0.360 0.360 0.281
Bi 0.640 0.640 0.719

## Properties
DOS at the Fermi energy   1.2 states/eV/cell
E_form (uncorrected)   0.0763 eV per atom



(11)
This record from Alexandria via LeMat-Bulk describes a geometry-optimized EuDyEr2 structure. The functional is GGA-PBE.

Lattice parameters (Å, degrees): 5.703 5.703 5.703 60.00 60.00 60.00
Each line ends with the local moment (μB).
Sites, in units of the cell vectors:
Eu 0.000 0.000 0.000  -6.87
Dy 0.500 0.500 0.500  -0.13
Er 0.250 0.250 0.250  -0.16
Er 0.750 0.750 0.750  -0.16

## Properties
DOS at the Fermi energy   7.9 states/eV/cell
Offset from the most stable computed form   101.8 meV per atom
DFT formation energy   167 meV per atom



(12)
This record from Alexandria via LeMat-Bulk describes a geometry-optimized Er3AsS6 structure. The functional is GGA-PBE.

Lattice parameters (Å, degrees): 6.624 8.415 8.415 102.77 90.00 90.00
Sites, in units of the cell vectors:
Er 0.483 0.917 0.717
Er 0.983 0.717 0.917
Er 0.391 0.403 0.597
Er 0.891 0.597 0.403
Er 0.983 0.083 0.283
Er 0.483 0.283 0.083
As 0.007 0.179 0.821
As 0.507 0.821 0.179
S 0.185 0.693 0.636
S 0.685 0.636 0.693
S 0.185 0.422 0.900
S 0.685 0.900 0.422
S 0.245 0.014 0.986
S 0.637 0.231 0.769
S 0.137 0.769 0.231
S 0.745 0.986 0.014
S 0.185 0.100 0.578
S 0.685 0.578 0.100
S 0.185 0.364 0.307
S 0.685 0.307 0.364

## Properties
E_form (uncorrected)   -1.5337 eV per atom



no.,total magnetic moment (μB/f.u.)
1,0.00
2,0.00
3,0.00
4,0.00
5,5.62
6,1.00
7,0.00
8,0.00
9,0.91
10,0.00
11,7.78
12,0.00